Record 1
The following is a PBE-GGA calculation of an optimized crystal structure of MgPaGe2, from OQMD via LeMat-Bulk.

Lattice parameters (Å, degrees): 4.550 4.550 3.963 90.00 90.00 90.00
Element x y z (fractional)
Mg1 0.000 0.000 0.000
Pa1 0.500 0.500 0.000
Ge1 0.000 0.500 0.500
Ge2 0.500 0.000 0.500

**Calculated total energy**: -5.455 eV per atom
**Space-group type**: P4/mmm
**ρ**: 8.11 g/cm³

Record 2
The following is a PBE-GGA calculation of an optimized crystal structure of FeSnBiAu, from OQMD via LeMat-Bulk.

Lattice parameters (Å, degrees): 7.033 7.033 7.033 90.00 90.00 90.00
Element x y z (fractional)
Fe1 0.000 0.000 0.000
Fe2 0.000 0.500 0.500
Fe3 0.500 0.000 0.500
Fe4 0.500 0.500 0.000
Sn1 0.250 0.250 0.250
Sn2 0.250 0.750 0.750
Sn3 0.750 0.250 0.750
Sn4 0.750 0.750 0.250
Bi1 0.250 0.250 0.750
Bi2 0.250 0.750 0.250
Bi3 0.750 0.250 0.250
Bi4 0.750 0.750 0.750
Au1 0.000 0.000 0.500
Au2 0.000 0.500 0.000
Au3 0.500 0.000 0.000
Au4 0.500 0.500 0.500

**Calculated total energy**: -4.561 eV per atom
**Space-group type**: F-43m
**ρ**: 11.09 g/cm³

Record 3
The following is a PBE-GGA calculation of an optimized crystal structure of SmAlNO, from OQMD via LeMat-Bulk.

Lattice parameters (Å, degrees): 5.245 7.960 5.052 90.00 90.00 90.00
Element x y z (fractional)
Sm1 0.011 0.134 0.000
Sm2 0.489 0.134 0.500
Sm3 0.511 0.866 0.000
Sm4 0.989 0.866 0.500
Al1 0.068 0.611 0.968
Al2 0.432 0.611 0.468
Al3 0.568 0.389 0.968
Al4 0.932 0.389 0.468
N1 0.006 0.831 0.999
N2 0.494 0.831 0.499
N3 0.506 0.169 0.999
N4 0.994 0.169 0.499
O1 0.126 0.548 0.620
O2 0.374 0.548 0.120
O3 0.626 0.452 0.620
O4 0.874 0.452 0.120

**Calculated total energy**: -7.325 eV per atom
**Space-group type**: Pca2_1
**ρ**: 6.53 g/cm³

Record 4
The following is a PBE-GGA calculation of an optimized crystal structure of Mg4Zn3, from OQMD via LeMat-Bulk.

Lattice parameters (Å, degrees): 7.867 7.867 4.890 90.00 90.00 120.00
Element x y z (fractional)
Mg1 0.095 0.451 0.250
Mg2 0.333 0.667 0.750
Mg3 0.356 0.905 0.250
Mg4 0.451 0.356 0.750
Mg5 0.549 0.644 0.250
Mg6 0.644 0.095 0.750
Mg7 0.667 0.333 0.250
Mg8 0.905 0.549 0.750
Zn1 0.050 0.228 0.750
Zn2 0.178 0.950 0.750
Zn3 0.228 0.178 0.250
Zn4 0.772 0.822 0.750
Zn5 0.822 0.050 0.250
Zn6 0.950 0.772 0.250

**Calculated total energy**: -1.438 eV per atom
**Space-group type**: P6_3/m
**ρ**: 3.72 g/cm³

Question: What is the formula in the second record?
Answer: FeSnBiAu

Question: Which value of calculated total energy does entry 1 give?
Answer: -5.455 eV per atom

Please write out number 1 again, unchanged.
The following is a PBE-GGA calculation of an optimized crystal structure of MgPaGe2, from OQMD via LeMat-Bulk.

Lattice parameters (Å, degrees): 4.550 4.550 3.963 90.00 90.00 90.00
Element x y z (fractional)
Mg1 0.000 0.000 0.000
Pa1 0.500 0.500 0.000
Ge1 0.000 0.500 0.500
Ge2 0.500 0.000 0.500

**Calculated total energy**: -5.455 eV per atom
**Space-group type**: P4/mmm
**ρ**: 8.11 g/cm³